P | DFT (GGA-PBE) results for crystalline SrPmAg2 at its relaxed geometry.

Lattice parameters (Å, degrees): 5.3842 5.3842 5.3842 60.00 60.00 60.00
Fractional positions:
Sr  0.0000  0.0000  0.0000
Pm  0.5000  0.5000  0.5000
Ag  0.2500  0.2500  0.2500
Ag  0.7500  0.7500  0.7500

Results
As for the space group: Fm-3m (225). The volume is 110 Å³/cell.



Q | DFT (GGA-PBE) results for crystalline SrPmAg2 at its relaxed geometry.

Lattice parameters (Å, degrees): 3.8282 3.8282 7.6984 90.00 90.00 90.00
Fractional positions:
Sr  0.0000  0.0000  0.0000
Pm  0.0000  0.0000  0.5000
Ag  0.5000  0.5000  0.2839
Ag  0.5000  0.5000  0.7161

Results
As for the space group: P4/mmm (123). The volume is 113 Å³/cell.



Tell me which of them is the most stable. Sure, it is Q.



P | DFT (GGA-PBE) results for crystalline TbPmAg at its relaxed geometry.

Lattice parameters (Å, degrees): 7.1175 5.1444 9.2279 90.00 90.00 90.00
Fractional positions:
Tb  0.1534  0.2500  0.0797
Tb  0.3466  0.7500  0.5797
Tb  0.6534  0.2500  0.4203
Tb  0.8466  0.7500  0.9203
Pm  0.0122  0.2500  0.6852
Pm  0.4878  0.7500  0.1852
Pm  0.5122  0.2500  0.8148
Pm  0.9878  0.7500  0.3148
Ag  0.2415  0.2500  0.4000
Ag  0.2585  0.7500  0.9000
Ag  0.7415  0.2500  0.1000
Ag  0.7585  0.7500  0.6000

Results
As for the space group: Pnma (62). The volume is 338 Å³/cell.



Q | DFT (GGA-PBE) results for crystalline TbPmAg at its relaxed geometry.

Lattice parameters (Å, degrees): 6.9536 6.9536 6.9536 149.84 149.84 43.18
Fractional positions:
Tb  0.0000  0.0000  0.0000
Pm  0.2976  0.2976  0.0000
Ag  0.6406  0.6406  0.0000

Results
As for the space group: I4mm (107). The volume is 85 Å³/cell.



Tell me which of them is the most stable. Sure, it is P.



P | DFT (GGA-PBE) results for crystalline TbPmAg at its relaxed geometry.

Lattice parameters (Å, degrees): 5.0990 5.0990 5.0990 60.00 60.00 60.00
Fractional positions:
Tb  0.0000  0.0000  0.0000
Pm  0.5000  0.5000  0.5000
Ag  0.2500  0.2500  0.2500

Results
As for the space group: F-43m (216). The volume is 94 Å³/cell.



Q | DFT (GGA-PBE) results for crystalline TbPmAg at its relaxed geometry.

Lattice parameters (Å, degrees): 5.1007 5.1007 3.7108 90.00 90.00 120.00
Fractional positions:
Tb  0.0000  0.0000  0.0000
Pm  0.3333  0.6667  0.4460
Ag  0.6667  0.3333  0.7592

Results
As for the space group: P3m1 (156). The volume is 84 Å³/cell.



Tell me which of them is the most stable. Sure, it is Q.



P | DFT (GGA-PBE) results for crystalline Tb2PmAg at its relaxed geometry.

Lattice parameters (Å, degrees): 5.4292 5.4292 5.4292 60.00 60.00 60.00
Fractional positions:
Tb  0.2500  0.2500  0.2500
Tb  0.7500  0.7500  0.7500
Pm  0.0000  0.0000  0.0000
Ag  0.5000  0.5000  0.5000

Results
As for the space group: Fm-3m (225). The volume is 113 Å³/cell.



Q | DFT (GGA-PBE) results for crystalline Tb2PmAg at its relaxed geometry.

Lattice parameters (Å, degrees): 10.6796 10.6796 10.6796 19.55 19.55 19.55
Fractional positions:
Tb  0.0000  0.0000  0.0000
Tb  0.1873  0.1873  0.1873
Pm  0.7605  0.7605  0.7605
Ag  0.5936  0.5936  0.5936

Results
As for the space group: R3m (160). The volume is 119 Å³/cell.



R | DFT (GGA-PBE) results for crystalline Tb2PmAg at its relaxed geometry.

Lattice parameters (Å, degrees): 6.4607 6.4607 7.9432 90.00 90.00 134.39
Fractional positions:
Tb  0.1427  0.8573  0.5352
Tb  0.1427  0.8573  0.9648
Tb  0.8573  0.1427  0.0352
Tb  0.8573  0.1427  0.4648
Pm  0.4470  0.5530  0.7500
Pm  0.5530  0.4470  0.2500
Ag  0.2943  0.7057  0.2500
Ag  0.7057  0.2943  0.7500

Results
As for the space group: Cmcm (63). The volume is 237 Å³/cell.



Tell me which of them is the most stable. Sure, it is R.



P | DFT (GGA-PBE) results for crystalline Tb2PmAg at its relaxed geometry.

Lattice parameters (Å, degrees): 10.7715 10.7715 10.7715 19.19 19.19 19.19
Fractional positions:
Tb  0.2405  0.2405  0.2405
Tb  0.7595  0.7595  0.7595
Pm  0.0000  0.0000  0.0000
Ag  0.5000  0.5000  0.5000

Results
As for the space group: R-3m (166). The volume is 118 Å³/cell.



Q | DFT (GGA-PBE) results for crystalline Tb2PmAg at its relaxed geometry.

Lattice parameters (Å, degrees): 5.5380 5.5380 3.6557 90.00 90.00 90.00
Fractional positions:
Tb  0.0000  0.5000  0.0000
Tb  0.5000  0.0000  0.0000
Pm  0.0000  0.0000  0.5000
Ag  0.5000  0.5000  0.5000

Results
As for the space group: P4/mmm (123). The volume is 112 Å³/cell.



Tell me which of them is the most stable. Sure, it is P.



P | DFT (GGA-PBE) results for crystalline TbPmAg3 at its relaxed geometry.

Lattice parameters (Å, degrees): 8.2072 7.9678 5.9377 70.63 66.33 43.04
Fractional positions:
Tb  0.2500  0.2500  0.2500
Tb  0.7500  0.7500  0.7500
Pm  0.2065  0.7935  0.2065
Pm  0.7935  0.2065  0.7935
Ag  0.1966  0.1966  0.8034
Ag  0.2178  0.5809  0.7822
Ag  0.4191  0.7822  0.5809
Ag  0.5809  0.2178  0.4191
Ag  0.7822  0.4191  0.2178
Ag  0.8034  0.8034  0.1966

Results
As for the space group: Fmmm (69). The volume is 242 Å³/cell.



Q | DFT (GGA-PBE) results for crystalline TbPmAg3 at its relaxed geometry.

Lattice parameters (Å, degrees): 14.1918 14.1918 4.8058 90.00 90.00 165.55
Fractional positions:
Tb  0.2094  0.7906  0.7500
Tb  0.7906  0.2094  0.2500
Pm  0.0746  0.9254  0.2500
Pm  0.9254  0.0746  0.7500
Ag  0.3226  0.6774  0.7500
Ag  0.3787  0.6213  0.2500
Ag  0.4763  0.5237  0.2500
Ag  0.5237  0.4763  0.7500
Ag  0.6213  0.3787  0.7500
Ag  0.6774  0.3226  0.2500

Results
As for the space group: Cmcm (63). The volume is 242 Å³/cell.



Tell me which of them is the most stable. Sure, it is Q.



P | DFT (GGA-PBE) results for crystalline Tb2PmAg2 at its relaxed geometry.

Lattice parameters (Å, degrees): 13.6761 13.6761 5.3283 90.00 90.00 164.56
Fractional positions:
Tb  0.0477  0.9523  0.7500
Tb  0.2347  0.7653  0.7500
Tb  0.7653  0.2347  0.2500
Tb  0.9523  0.0477  0.2500
Pm  0.1453  0.8547  0.2500
Pm  0.8547  0.1453  0.7500
Ag  0.3575  0.6425  0.2500
Ag  0.4551  0.5449  0.7500
Ag  0.5449  0.4551  0.2500
Ag  0.6425  0.3575  0.7500

Results
As for the space group: Cmcm (63). The volume is 265 Å³/cell.



Q | DFT (GGA-PBE) results for crystalline Tb2PmAg2 at its relaxed geometry.

Lattice parameters (Å, degrees): 5.2697 4.9334 11.0785 90.00 95.08 90.00
Fractional positions:
Tb  0.1586  0.2500  0.1125
Tb  0.2497  0.7500  0.5065
Tb  0.7503  0.2500  0.4935
Tb  0.8414  0.7500  0.8875
Pm  0.3016  0.2500  0.7557
Pm  0.6984  0.7500  0.2443
Ag  0.2261  0.2500  0.3669
Ag  0.3568  0.7500  0.9943
Ag  0.6432  0.2500  0.0057
Ag  0.7739  0.7500  0.6331

Results
As for the space group: P2_1/m (11). The volume is 287 Å³/cell.



Tell me which of them is the most stable. Sure, it is P.



P | DFT (GGA-PBE) results for crystalline TbPm4Ag at its relaxed geometry.

Lattice parameters (Å, degrees): 10.9044 10.9044 6.5288 90.00 90.00 150.55
Fractional positions:
Tb  0.1329  0.8671  0.5000
Tb  0.8671  0.1329  0.0000
Pm  0.0642  0.9358  0.9991
Pm  0.2525  0.7475  0.1118
Pm  0.3228  0.6772  0.6417
Pm  0.4657  0.5343  0.8291
Pm  0.5343  0.4657  0.3291
Pm  0.6772  0.3228  0.1417
Pm  0.7475  0.2525  0.6118
Pm  0.9358  0.0642  0.4991
Ag  0.3935  0.6065  0.2357
Ag  0.6065  0.3935  0.7357

Results
As for the space group: Cmc2_1 (36). The volume is 382 Å³/cell.



Q | DFT (GGA-PBE) results for crystalline TbPm4Ag at its relaxed geometry.

Lattice parameters (Å, degrees): 3.6462 3.6462 14.1565 90.00 90.00 90.00
Fractional positions:
Tb  0.0000  0.0000  0.0000
Pm  0.0000  0.0000  0.3618
Pm  0.0000  0.0000  0.6382
Pm  0.5000  0.5000  0.1775
Pm  0.5000  0.5000  0.8225
Ag  0.5000  0.5000  0.5000

Results
As for the space group: P4/mmm (123). The volume is 188 Å³/cell.



Tell me which of them is the most stable. Sure, it is Q.



P | DFT (GGA-PBE) results for crystalline TbPmAg4 at its relaxed geometry.

Lattice parameters (Å, degrees): 5.4028 5.4028 7.6373 110.61 110.61 40.77
Fractional positions:
Tb  0.0000  0.0000  0.0000
Pm  0.0000  0.0000  0.5000
Ag  0.3286  0.3286  0.1592
Ag  0.3299  0.3299  0.6712
Ag  0.6701  0.6701  0.3288
Ag  0.6714  0.6714  0.8408

Results
As for the space group: C2/m (12). The volume is 135 Å³/cell.



Q | DFT (GGA-PBE) results for crystalline TbPmAg4 at its relaxed geometry.

Lattice parameters (Å, degrees): 5.7446 5.7446 5.7446 60.00 60.00 60.00
Fractional positions:
Tb  0.0000  0.0000  0.0000
Pm  0.7500  0.7500  0.7500
Ag  0.3748  0.3748  0.3748
Ag  0.3748  0.3748  0.8756
Ag  0.3748  0.8756  0.3748
Ag  0.8756  0.3748  0.3748

Results
As for the space group: F-43m (216). The volume is 134 Å³/cell.



Tell me which of them is the most stable. Sure, it is P.



P | DFT (GGA-PBE) results for crystalline TbPm3Ag2 at its relaxed geometry.

Lattice parameters (Å, degrees): 5.2180 9.3532 7.0251 90.00 90.00 90.00
Fractional positions:
Tb  0.0000  0.0611  0.0000
Tb  0.0000  0.9389  0.5000
Pm  0.0000  0.3302  0.6473
Pm  0.0000  0.6698  0.1473
Pm  0.5000  0.1662  0.3308
Pm  0.5000  0.4376  0.9802
Pm  0.5000  0.5624  0.4802
Pm  0.5000  0.8338  0.8308
Ag  0.0000  0.3444  0.2185
Ag  0.0000  0.6556  0.7185
Ag  0.5000  0.1510  0.7605
Ag  0.5000  0.8490  0.2605

Results
As for the space group: Pmc2_1 (26). The volume is 343 Å³/cell.



Q | DFT (GGA-PBE) results for crystalline TbPm3Ag2 at its relaxed geometry.

Lattice parameters (Å, degrees): 8.8277 8.8277 8.8277 132.46 72.54 128.68
Fractional positions:
Tb  0.0000  0.0000  0.0000
Tb  0.5000  0.5000  0.0000
Pm  0.0248  0.2500  0.7748
Pm  0.2500  0.7500  0.5000
Pm  0.4752  0.2500  0.2252
Pm  0.5248  0.7500  0.7748
Pm  0.7500  0.2500  0.5000
Pm  0.9752  0.7500  0.2252
Ag  0.1410  0.6965  0.8375
Ag  0.3590  0.1965  0.5554
Ag  0.6410  0.8035  0.4446
Ag  0.8590  0.3035  0.1625

Results
As for the space group: Ibam (72). The volume is 387 Å³/cell.



Tell me which of them is the most stable. Sure, it is P.



P | DFT (GGA-PBE) results for crystalline TbPmTmAg at its relaxed geometry.

Lattice parameters (Å, degrees): 5.3955 5.3955 5.3955 60.00 60.00 60.00
Fractional positions:
Tb  0.0000  0.0000  0.0000
Pm  0.7500  0.7500  0.7500
Tm  0.5000  0.5000  0.5000
Ag  0.2500  0.2500  0.2500

Results
As for the space group: F-43m (216). The volume is 111 Å³/cell.



Q | DFT (GGA-PBE) results for crystalline TbPmTmAg at its relaxed geometry.

Lattice parameters (Å, degrees): 3.6063 3.6063 8.7249 90.00 90.00 90.00
Fractional positions:
Tb  0.0000  0.0000  0.0000
Pm  0.5000  0.5000  0.2934
Tm  0.0000  0.0000  0.5829
Ag  0.5000  0.5000  0.7821

Results
As for the space group: P4mm (99). The volume is 113 Å³/cell.



Tell me which of them is the most stable. Sure, it is Q.



P | DFT (GGA-PBE) results for crystalline Pm2TcAg at its relaxed geometry.

Lattice parameters (Å, degrees): 5.0971 5.0971 5.0971 60.00 60.00 60.00
Fractional positions:
Pm  0.2500  0.2500  0.2500
Pm  0.7500  0.7500  0.7500
Tc  0.0000  0.0000  0.0000
Ag  0.5000  0.5000  0.5000

Results
As for the space group: Fm-3m (225). The volume is 94 Å³/cell.



Q | DFT (GGA-PBE) results for crystalline Pm2TcAg at its relaxed geometry.

Lattice parameters (Å, degrees): 3.5433 3.5433 7.6083 90.00 90.00 90.00
Fractional positions:
Pm  0.0000  0.0000  0.2225
Pm  0.0000  0.0000  0.7775
Tc  0.5000  0.5000  0.0000
Ag  0.5000  0.5000  0.5000

Results
As for the space group: P4/mmm (123). The volume is 96 Å³/cell.



Tell me which of them is the most stable. Sure, it is Q.